a | The following is a PBE calculation of a relaxed ZnCu6 crystal, from Alexandria via LeMat-Bulk.

Summary:
- density (Mg/m³) = 8.6
- magnetic moment (μB/atom) = 0.0000

Structure (POSCAR):
```
ZnCu6
1.0
2.487 0.000 -0.334
-1.247 5.445 -3.004
0.008 0.000 6.342
Zn Cu
1 6
direct
0.500 0.000 0.000
0.662 0.568 0.859
0.804 0.141 0.709
0.905 0.709 0.568
0.095 0.291 0.432
0.196 0.859 0.291
0.338 0.432 0.141
```

***

b | The following is a PBE calculation of a relaxed ZnCu6 crystal, from Alexandria via LeMat-Bulk.

Summary:
- density (Mg/m³) = 5.5
- magnetic moment (μB/atom) = 0.0000

Structure (POSCAR):
```
ZnCu6
1.0
5.607 0.000 0.000
-1.869 5.286 0.000
-1.869 -2.643 4.578
Zn Cu
1 6
direct
0.000 0.000 0.000
0.250 0.750 0.500
0.500 0.750 0.250
0.250 0.500 0.750
0.750 0.250 0.500
0.500 0.250 0.750
0.750 0.500 0.250
```

***

If we sort the structures by their calculated energies, the order from most to least stable is a, b.

***

a | The following is a PBE calculation of a relaxed Zn4Cu5 crystal, from Alexandria via LeMat-Bulk.

Summary:
- density (Mg/m³) = 8.2
- magnetic moment (μB/atom) = 0.0000

Structure (POSCAR):
```
Zn4Cu5
1.0
3.763 0.000 0.000
1.882 5.575 0.000
-1.882 0.000 5.575
Cu Zn
5 4
direct
0.000 0.000 0.000
0.334 0.000 0.669
0.666 0.000 0.331
0.666 0.669 0.000
0.334 0.331 0.000
0.324 0.676 0.324
0.676 0.324 0.676
0.000 0.324 0.324
0.000 0.676 0.676
```

***

b | The following is a PBE calculation of a relaxed Zn4Cu5 crystal, from Alexandria via LeMat-Bulk.

Summary:
- density (Mg/m³) = 8.2
- magnetic moment (μB/atom) = 0.0000

Structure (POSCAR):
```
Zn4Cu5
1.0
7.287 0.000 0.000
3.644 6.311 0.000
0.000 0.000 5.111
Cu Zn
10 8
direct
0.309 0.691 0.250
0.000 0.309 0.250
0.691 0.000 0.250
0.691 0.309 0.750
0.000 0.691 0.750
0.309 0.000 0.750
0.333 0.333 0.000
0.667 0.667 0.500
0.667 0.667 0.000
0.333 0.333 0.500
0.000 0.000 0.000
0.000 0.000 0.500
0.638 0.362 0.250
0.000 0.638 0.250
0.362 0.000 0.250
0.362 0.638 0.750
0.000 0.362 0.750
0.638 0.000 0.750
```

***

If we sort the structures by their calculated energies, the order from most to least stable is a, b.

***

a | The following is a PBE calculation of a relaxed Zn5Cu7 crystal, from Alexandria via LeMat-Bulk.

Summary:
- density (Mg/m³) = 7.1
- magnetic moment (μB/atom) = 0.0000

Structure (POSCAR):
```
Zn5Cu7
1.0
6.243 -0.060 0.000
-3.261 5.324 0.000
-1.491 -2.632 5.461
Zn Cu
5 7
direct
0.047 0.047 0.000
0.677 0.677 0.461
0.216 0.216 0.539
0.216 0.677 0.000
0.677 0.216 0.000
0.450 0.450 0.000
0.983 0.483 0.500
0.483 0.983 0.500
0.500 0.737 0.763
0.974 0.737 0.237
0.737 0.500 0.763
0.737 0.974 0.237
```

***

b | The following is a PBE calculation of a relaxed Zn5Cu7 crystal, from Alexandria via LeMat-Bulk.

Summary:
- density (Mg/m³) = 8.3
- magnetic moment (μB/atom) = 0.0000

Structure (POSCAR):
```
Zn5Cu7
1.0
3.604 0.000 0.871
1.485 5.415 1.745
-0.011 -0.044 7.930
Zn Cu
5 7
direct
0.659 0.677 0.006
0.918 0.425 0.739
0.335 0.329 0.002
0.749 0.242 0.261
0.590 0.078 0.742
0.999 0.002 0.001
0.415 0.915 0.254
0.836 0.830 0.497
0.251 0.750 0.748
0.082 0.584 0.253
0.499 0.506 0.496
0.168 0.164 0.501
```

***

c | The following is a PBE calculation of a relaxed Zn5Cu7 crystal, from Alexandria via LeMat-Bulk.

Summary:
- density (Mg/m³) = 8.3
- magnetic moment (μB/atom) = 0.0000

Structure (POSCAR):
```
Zn5Cu7
1.0
-3.378 1.466 0.624
-0.283 -5.898 1.148
3.131 4.694 5.919
Zn Cu
5 7
direct
0.160 0.320 0.496
0.840 0.680 0.504
0.253 0.507 0.243
0.747 0.493 0.757
0.000 0.000 0.000
0.417 0.835 0.751
0.583 0.165 0.249
0.916 0.833 0.248
0.084 0.167 0.752
0.664 0.329 0.998
0.500 0.000 0.500
0.336 0.671 0.002
```

***

If we sort the structures by their calculated energies, the order from most to least stable is c, b, a.

***

a | The following is a PBE calculation of a relaxed Zn4Cu crystal, from Alexandria via LeMat-Bulk.

Summary:
- density (Mg/m³) = 7.6
- magnetic moment (μB/atom) = 0.0000

Structure (POSCAR):
```
Zn4Cu
1.0
-0.619 -0.718 5.371
3.243 -1.929 2.806
3.792 4.872 4.840
Zn Cu
8 2
direct
0.849 0.595 0.808
0.349 0.595 0.808
0.948 0.195 0.606
0.448 0.195 0.606
0.552 0.805 0.394
0.052 0.805 0.394
0.651 0.405 0.192
0.151 0.405 0.192
0.750 0.000 0.000
0.250 0.000 0.000
```

***

b | The following is a PBE calculation of a relaxed Zn4Cu crystal, from Alexandria via LeMat-Bulk.

Summary:
- density (Mg/m³) = 7.6
- magnetic moment (μB/atom) = 0.0000

Structure (POSCAR):
```
Zn4Cu
1.0
-2.110 -1.844 -2.697
1.016 -4.551 -0.487
-1.869 -0.047 4.299
Cu Zn
1 4
direct
0.000 0.000 0.000
0.202 0.195 0.600
0.603 0.600 0.805
0.798 0.805 0.400
0.397 0.400 0.195
```

***

c | The following is a PBE calculation of a relaxed Zn4Cu crystal, from Alexandria via LeMat-Bulk.

Summary:
- density (Mg/m³) = 7.1
- magnetic moment (μB/atom) = 0.0000

Structure (POSCAR):
```
Zn4Cu
1.0
0.463 2.593 0.105
-1.221 -1.038 -2.094
-11.135 1.759 5.621
Zn Cu
4 1
direct
0.667 0.333 0.828
0.333 0.667 0.172
0.667 0.333 0.603
0.333 0.667 0.397
0.000 0.000 0.000
```

***

d | The following is a PBE calculation of a relaxed Zn4Cu crystal, from Alexandria via LeMat-Bulk.

Summary:
- density (Mg/m³) = 5.4
- magnetic moment (μB/atom) = 0.0000

Structure (POSCAR):
```
Zn4Cu
1.0
4.630 0.000 0.000
0.000 4.630 0.000
0.000 0.000 4.630
Zn Cu
4 1
direct
0.000 0.000 0.000
0.500 0.000 0.500
0.000 0.500 0.500
0.500 0.500 0.000
0.500 0.500 0.500
```

***

If we sort the structures by their calculated energies, the order from most to least stable is b, a, c, d.

***

a | The following is a PBE calculation of a relaxed Zn4Cu crystal, from Alexandria via LeMat-Bulk.

Summary:
- density (Mg/m³) = 6.2
- magnetic moment (μB/atom) = 0.0000

Structure (POSCAR):
```
Zn4Cu
1.0
-2.797 2.797 2.797
2.797 -2.797 2.797
2.797 2.797 -2.797
Zn Cu
4 1
direct
0.000 0.500 0.000
0.000 0.000 0.500
0.500 0.500 0.500
0.500 0.000 0.000
0.000 0.000 0.000
```

***

b | The following is a PBE calculation of a relaxed Zn4Cu crystal, from Alexandria via LeMat-Bulk.

Summary:
- density (Mg/m³) = 7.2
- magnetic moment (μB/atom) = 0.0000

Structure (POSCAR):
```
Zn4Cu
1.0
-1.633 -2.864 2.454
-0.186 -0.972 -4.700
8.875 -0.554 5.260
Zn Cu
8 2
direct
0.449 0.399 0.552
0.740 0.980 0.338
0.096 0.691 0.954
0.803 0.106 0.618
0.803 0.106 0.118
0.450 0.399 0.052
0.740 0.980 0.838
0.096 0.691 0.454
0.411 0.323 0.788
0.412 0.323 0.288
```

***

If we sort the structures by their calculated energies, the order from most to least stable is b, a.

***

a | The following is a PBE calculation of a relaxed Zn2Cu5 crystal, from Alexandria via LeMat-Bulk.

Summary:
- density (Mg/m³) = 8.5
- magnetic moment (μB/atom) = 0.0000

Structure (POSCAR):
```
Zn2Cu5
1.0
4.429 0.000 0.000
0.000 6.771 0.322
-2.215 -0.636 5.814
Zn Cu
4 10
direct
0.247 0.394 0.849
0.398 0.106 0.151
0.753 0.606 0.151
0.602 0.894 0.849
0.318 0.465 0.288
0.029 0.035 0.712
0.110 0.681 0.571
0.539 0.819 0.429
0.890 0.319 0.429
0.461 0.181 0.571
0.971 0.965 0.288
0.682 0.535 0.712
0.826 0.250 0.000
0.174 0.750 0.000
```

***

b | The following is a PBE calculation of a relaxed Zn2Cu5 crystal, from Alexandria via LeMat-Bulk.

Summary:
- density (Mg/m³) = 8.2
- magnetic moment (μB/atom) = 0.0000

Structure (POSCAR):
```
Zn2Cu5
1.0
4.718 0.000 -2.003
-1.120 5.539 -2.637
0.179 -0.151 6.981
Zn Cu
4 10
direct
0.389 0.687 0.778
0.611 0.313 0.222
0.889 0.091 0.778
0.111 0.909 0.222
0.115 0.324 0.231
0.885 0.676 0.769
0.615 0.906 0.231
0.385 0.094 0.769
0.478 0.728 0.455
0.022 0.272 0.545
0.522 0.272 0.545
0.978 0.728 0.455
0.750 0.500 0.000
0.250 0.500 0.000
```

***

If we sort the structures by their calculated energies, the order from most to least stable is a, b.

***

a | The following is a PBE calculation of a relaxed Zn4Cu3 crystal, from Alexandria via LeMat-Bulk.

Summary:
- density (Mg/m³) = 6.4
- magnetic moment (μB/atom) = 0.0000

Structure (POSCAR):
```
Zn4Cu3
1.0
-3.749 2.799 -1.435
-3.081 -3.718 0.795
-0.636 1.512 4.611
Zn Cu
4 3
direct
0.000 0.000 0.000
0.000 0.500 0.500
0.500 0.000 0.500
0.500 0.500 0.000
0.000 0.500 0.000
0.000 0.000 0.500
0.500 0.000 0.000
```

***

b | The following is a PBE calculation of a relaxed Zn4Cu3 crystal, from Alexandria via LeMat-Bulk.

Summary:
- density (Mg/m³) = 8.0
- magnetic moment (μB/atom) = 0.0000

Structure (POSCAR):
```
Zn4Cu3
1.0
-2.621 -1.543 0.269
1.324 -0.991 -10.121
1.549 -2.631 0.000
Cu Zn
3 4
direct
0.000 0.000 0.000
0.283 0.567 0.717
0.717 0.433 0.283
0.150 0.299 0.850
0.850 0.701 0.150
0.430 0.859 0.570
0.570 0.141 0.430
```

***

c | The following is a PBE calculation of a relaxed Zn4Cu3 crystal, from Alexandria via LeMat-Bulk.

Summary:
- density (Mg/m³) = 5.9
- magnetic moment (μB/atom) = 0.0000

Structure (POSCAR):
```
Zn4Cu3
1.0
-2.002 0.504 -4.572
-1.846 -4.655 0.295
-4.213 1.800 2.043
Zn Cu
4 3
direct
0.184 0.816 0.184
0.816 0.184 0.184
0.816 0.816 0.816
0.184 0.184 0.816
0.500 0.000 0.500
0.500 0.500 0.000
0.000 0.500 0.500
```

***

d | The following is a PBE calculation of a relaxed Zn4Cu3 crystal, from Alexandria via LeMat-Bulk.

Summary:
- density (Mg/m³) = 7.8
- magnetic moment (μB/atom) = 0.0000

Structure (POSCAR):
```
Zn4Cu3
1.0
4.856 0.000 0.000
2.428 4.205 0.000
0.000 0.000 4.738
Cu Zn
3 4
direct
0.500 0.500 0.000
0.000 0.500 0.000
0.500 0.000 0.000
0.000 0.000 0.251
0.000 0.000 0.749
0.333 0.333 0.500
0.667 0.667 0.500
```

***

If we sort the structures by their calculated energies, the order from most to least stable is b, d, a, c.

***

a | The following is a PBE calculation of a relaxed Zn3Cu13 crystal, from Alexandria via LeMat-Bulk.

Summary:
- density (Mg/m³) = 8.6
- magnetic moment (μB/atom) = 0.0000

Structure (POSCAR):
```
Zn3Cu13
1.0
-2.631 -2.752 3.576
0.716 -4.306 -2.868
6.168 -1.321 3.522
Zn Cu
3 13
direct
0.004 0.996 0.254
0.742 0.258 0.000
0.004 0.996 0.746
0.500 0.000 0.252
0.498 0.502 0.252
0.000 0.500 0.252
0.749 0.751 0.000
0.249 0.251 0.000
0.253 0.747 0.000
0.500 0.000 0.748
0.498 0.502 0.748
0.000 0.500 0.748
0.748 0.252 0.500
0.748 0.747 0.500
0.253 0.252 0.500
0.253 0.747 0.500
```

***

b | The following is a PBE calculation of a relaxed Zn3Cu13 crystal, from Alexandria via LeMat-Bulk.

Summary:
- density (Mg/m³) = 8.6
- magnetic moment (μB/atom) = 0.0000

Structure (POSCAR):
```
Zn3Cu13
1.0
-0.732 -4.626 -2.206
1.095 0.321 5.050
-8.286 0.469 1.767
Zn Cu
3 13
direct
0.000 0.000 0.749
0.334 0.666 0.000
0.000 0.000 0.251
0.999 0.499 0.748
0.501 0.499 0.748
0.501 0.001 0.748
0.832 0.663 0.000
0.337 0.168 0.000
0.832 0.168 0.000
0.999 0.499 0.252
0.501 0.499 0.252
0.501 0.001 0.252
0.168 0.832 0.500
0.663 0.832 0.500
0.168 0.337 0.500
0.666 0.334 0.500
```

***

If we sort the structures by their calculated energies, the order from most to least stable is b, a.